# 1
Below is Y2Sc after structural relaxation, with properties calculated at the GGA-PBEsol level.

Cell: 7.5305 7.5305 7.5305 Å, 153.63 153.63 37.63°
Last column: nearest neighbours and their distance in Å.
Atoms (fractional coordinates):
Y (0.1611, 0.1611, 0.0000)  4 Sc 3.34, 8 Y 3.43-3.51
Y (0.8389, 0.8389, 0.0000)  4 Sc 3.34, 8 Y 3.43-3.51
Sc (0.5000, 0.5000, 0.0000)  8 Y 3.34, 4 Sc 3.43

# 2
Below is Y2Sc after structural relaxation, with properties calculated at the GGA-PBEsol level.

Cell: 6.4398 6.4398 8.0740 Å, 102.33 102.33 31.41°
Last column: nearest neighbours and their distance in Å.
Atoms (fractional coordinates):
Y (0.1355, 0.1355, 0.0309)  8 Y 3.29-3.53, 4 Sc 3.35-3.50
Y (0.1881, 0.1881, 0.6354)  5 Sc 3.31-3.45, 7 Y 3.40-3.53
Y (0.8119, 0.8119, 0.3646)  5 Sc 3.31-3.45, 7 Y 3.40-3.53
Y (0.8645, 0.8645, 0.9691)  8 Y 3.29-3.53, 4 Sc 3.35-3.50
Sc (0.4718, 0.4718, 0.6906)  3 Sc 3.30-3.49, 9 Y 3.31-3.50
Sc (0.5282, 0.5282, 0.3094)  3 Sc 3.30-3.49, 9 Y 3.31-3.50

One value per record, in order, for distance to the lowest polymorph of the same formula: 25; 0 meV per atom.
One value per record, in order, for final energy: -6.702; -6.727 eV per atom.